# 1
DFT (GGA-PBE) results for a geometry-optimized DyLuZr structure.

Symmetry: No. 216
Total energy: -14.90 eV per cell
Size of the total moment: 0.00 μB per formula unit
DFT formation energy: 0.92 eV per atom

The structure in CIF format:
```
data_DyLuZr
_symmetry_space_group_name_H-M 'P 1'
_symmetry_Int_Tables_number 1
_cell_length_a 5.1150
_cell_length_b 5.1150
_cell_length_c 5.1150
_cell_angle_alpha 60.00
_cell_angle_beta 60.00
_cell_angle_gamma 60.00
loop_
_symmetry_equiv_pos_as_xyz
'x,y,z'
loop_
_atom_site_label
_atom_site_type_symbol
_atom_site_fract_x
_atom_site_fract_y
_atom_site_fract_z
Dy1 Dy 0.0000 0.0000 0.0000
Lu1 Lu 0.2500 0.2500 0.2500
Zr1 Zr 0.5000 0.5000 0.5000
```

# 2
DFT (GGA-PBE) results for a geometry-optimized MgTaFeB structure.

Offset from the most stable computed form: 173.4 meV per atom
Symmetry: No. 216
Total energy: -26.51 eV per cell
Size of the total moment: 0.00 μB per formula unit

The structure in CIF format:
```
data_MgTaFeB
_symmetry_space_group_name_H-M 'P 1'
_symmetry_Int_Tables_number 1
_cell_length_a 4.1123
_cell_length_b 4.1123
_cell_length_c 4.1123
_cell_angle_alpha 60.00
_cell_angle_beta 60.00
_cell_angle_gamma 60.00
loop_
_symmetry_equiv_pos_as_xyz
'x,y,z'
loop_
_atom_site_label
_atom_site_type_symbol
_atom_site_fract_x
_atom_site_fract_y
_atom_site_fract_z
Mg1 Mg 0.0000 0.0000 0.0000
Ta1 Ta 0.2500 0.2500 0.2500
Fe1 Fe 0.5000 0.5000 0.5000
B1 B 0.7500 0.7500 0.7500
```

# 3
DFT (GGA-PBE) results for a geometry-optimized ThSnTe structure.

Symmetry: No. 216
Total energy: -15.28 eV per cell
Size of the total moment: 0.00 μB per formula unit

The structure in CIF format:
```
data_ThSnTe
_symmetry_space_group_name_H-M 'P 1'
_symmetry_Int_Tables_number 1
_cell_length_a 5.1919
_cell_length_b 5.1919
_cell_length_c 5.1919
_cell_angle_alpha 60.00
_cell_angle_beta 60.00
_cell_angle_gamma 60.00
loop_
_symmetry_equiv_pos_as_xyz
'x,y,z'
loop_
_atom_site_label
_atom_site_type_symbol
_atom_site_fract_x
_atom_site_fract_y
_atom_site_fract_z
Th1 Th 0.0000 0.0000 0.0000
Sn1 Sn 0.5000 0.5000 0.5000
Te1 Te 0.7500 0.7500 0.7500
```

# 4
DFT (GGA-PBE) results for a geometry-optimized SmGdNi2P2 structure.

Symmetry: No. 164
Total energy: -38.56 eV per cell
Size of the total moment: 0.00 μB per formula unit

The structure in CIF format:
```
data_SmGdNi2P2
_symmetry_space_group_name_H-M 'P 1'
_symmetry_Int_Tables_number 1
_cell_length_a 3.9280
_cell_length_b 3.9280
_cell_length_c 7.8702
_cell_angle_alpha 90.00
_cell_angle_beta 90.00
_cell_angle_gamma 120.00
loop_
_symmetry_equiv_pos_as_xyz
'x,y,z'
loop_
_atom_site_label
_atom_site_type_symbol
_atom_site_fract_x
_atom_site_fract_y
_atom_site_fract_z
Sm1 Sm 0.0000 0.0000 0.0000
Gd1 Gd 0.0000 0.0000 0.5000
Ni1 Ni 0.3333 0.6667 0.7477
Ni2 Ni 0.6667 0.3333 0.2523
P1 P 0.3333 0.6667 0.2538
P2 P 0.6667 0.3333 0.7462
```

# 5
DFT (GGA-PBE) results for a geometry-optimized Gd2ErAl3FeCu2 structure.

Symmetry: No. 38
Total energy: -44.14 eV per cell
Size of the total moment: 2.16 μB per formula unit

The structure in CIF format:
```
data_Gd2ErAl3FeCu2
_symmetry_space_group_name_H-M 'P 1'
_symmetry_Int_Tables_number 1
_cell_length_a 3.9927
_cell_length_b 7.0429
_cell_length_c 7.0429
_cell_angle_alpha 120.19
_cell_angle_beta 90.00
_cell_angle_gamma 90.00
loop_
_symmetry_equiv_pos_as_xyz
'x,y,z'
loop_
_atom_site_label
_atom_site_type_symbol
_atom_site_fract_x
_atom_site_fract_y
_atom_site_fract_z
Gd1 Gd 0.0000 0.2075 0.7925
Gd2 Gd 0.0000 0.7925 0.2075
Er1 Er 0.0000 0.6217 0.6217
Al1 Al 0.5000 0.2100 0.4425
Al2 Al 0.5000 0.4425 0.2100
Al3 Al 0.5000 0.9740 0.9740
Fe1 Fe 0.0000 0.2110 0.2110
Cu1 Cu 0.5000 0.5428 0.8709
Cu2 Cu 0.5000 0.8709 0.5428
```

# 6
DFT (GGA-PBE) results for a geometry-optimized LuSi structure.

Symmetry: No. 225
Total energy: -10.74 eV per cell
Size of the total moment: 0.00 μB per formula unit

The structure in CIF format:
```
data_LuSi
_symmetry_space_group_name_H-M 'P 1'
_symmetry_Int_Tables_number 1
_cell_length_a 4.0209
_cell_length_b 4.0209
_cell_length_c 4.0209
_cell_angle_alpha 60.00
_cell_angle_beta 60.00
_cell_angle_gamma 60.00
loop_
_symmetry_equiv_pos_as_xyz
'x,y,z'
loop_
_atom_site_label
_atom_site_type_symbol
_atom_site_fract_x
_atom_site_fract_y
_atom_site_fract_z
Lu1 Lu 0.0000 0.0000 0.0000
Si1 Si 0.5000 0.5000 0.5000
```

# 7
DFT (GGA-PBE) results for a geometry-optimized RbLuCoTe3 structure.

Symmetry: No. 63
Total energy: -53.79 eV per cell
Size of the total moment: 2.60 μB per formula unit

The structure in CIF format:
```
data_RbLuCoTe3
_symmetry_space_group_name_H-M 'P 1'
_symmetry_Int_Tables_number 1
_cell_length_a 8.5351
_cell_length_b 8.5351
_cell_length_c 11.2552
_cell_angle_alpha 90.00
_cell_angle_beta 90.00
_cell_angle_gamma 151.45
loop_
_symmetry_equiv_pos_as_xyz
'x,y,z'
loop_
_atom_site_label
_atom_site_type_symbol
_atom_site_fract_x
_atom_site_fract_y
_atom_site_fract_z
Rb1 Rb 0.2453 0.7547 0.7500
Rb2 Rb 0.7547 0.2453 0.2500
Lu1 Lu 0.5000 0.5000 0.0000
Lu2 Lu 0.5000 0.5000 0.5000
Co1 Co 0.0332 0.9668 0.2500
Co2 Co 0.9668 0.0332 0.7500
Te1 Te 0.1233 0.8767 0.0625
Te2 Te 0.1233 0.8767 0.4375
Te3 Te 0.4380 0.5620 0.2500
Te4 Te 0.5620 0.4380 0.7500
Te5 Te 0.8767 0.1233 0.5625
Te6 Te 0.8767 0.1233 0.9375
```

# 8
DFT (GGA-PBE) results for a geometry-optimized RbYPdS3 structure.

Offset from the most stable computed form: 22.5 meV per atom
Symmetry: No. 63
Total energy: -64.35 eV per cell
Size of the total moment: 0.00 μB per formula unit

The structure in CIF format:
```
data_RbYPdS3
_symmetry_space_group_name_H-M 'P 1'
_symmetry_Int_Tables_number 1
_cell_length_a 8.0324
_cell_length_b 8.0324
_cell_length_c 9.8817
_cell_angle_alpha 90.00
_cell_angle_beta 90.00
_cell_angle_gamma 150.57
loop_
_symmetry_equiv_pos_as_xyz
'x,y,z'
loop_
_atom_site_label
_atom_site_type_symbol
_atom_site_fract_x
_atom_site_fract_y
_atom_site_fract_z
Rb1 Rb 0.2462 0.7538 0.7500
Rb2 Rb 0.7538 0.2462 0.2500
Y1 Y 0.0000 0.0000 0.0000
Y2 Y 0.0000 0.0000 0.5000
Pd1 Pd 0.4949 0.5051 0.2500
Pd2 Pd 0.5051 0.4949 0.7500
S1 S 0.0843 0.9157 0.2500
S2 S 0.3897 0.6103 0.0751
S3 S 0.3897 0.6103 0.4249
S4 S 0.6103 0.3897 0.5751
S5 S 0.6103 0.3897 0.9249
S6 S 0.9157 0.0843 0.7500
```